No. 1
DFT (PBE-GGA) results for a geometry-optimized AlBAs2 structure.

abc: 5.3502 5.3502 6.3672
angles: 65.16 65.16 90.00
Fractional positions:
B  0.5000  0.5000  0.0000
As  0.8750  0.8209  0.7500
As  0.3750  0.4291  0.7500
Al  0.0000  0.0000  0.0000
B  0.2500  0.7500  0.5000
Al  0.7500  0.2500  0.5000
As  0.1791  0.6250  0.2500
As  0.5709  0.1250  0.2500

## Properties
As for the space group: No. 122. The value obtained for the formation enthalpy at 0 K is -50 kJ/mol of formula units.

No. 2
DFT (PBE-GGA) results for a geometry-optimized Al2BAs structure.

abc: 4.3701 4.3701 4.3701
angles: 60.00 60.00 60.00
Fractional positions:
B  0.0000  0.0000  0.0000
Al  0.7500  0.7500  0.7500
Al  0.2500  0.2500  0.2500
As  0.5000  0.5000  0.5000

## Properties
As for the space group: No. 225. The value obtained for the formation enthalpy at 0 K is 269 kJ/mol of formula units.

No. 3
DFT (PBE-GGA) results for a geometry-optimized AlBAs2Br structure.

abc: 4.8552 4.8552 5.1273
angles: 90.00 90.00 90.00
Fractional positions:
As  0.0000  0.5000  0.0000
As  0.5000  0.0000  0.0000
Al  0.0000  0.0000  0.0000
Br  0.0000  0.0000  0.5000
B  0.5000  0.5000  0.5000

## Properties
As for the space group: No. 123. The formation energy (no corrections) is 1.188 eV/atom.

No. 4
DFT (PBE-GGA) results for a geometry-optimized AlBAs2Br structure.

abc: 4.4096 4.4096 4.9408
angles: 90.00 90.00 90.00
Fractional positions:
B  0.0000  0.0000  0.0000
As  0.0000  0.5000  0.0000
As  0.5000  0.0000  0.0000
Al  0.5000  0.5000  0.5000
Br  0.0000  0.0000  0.5000

## Properties
As for the space group: No. 123. The formation energy (no corrections) is 0.763 eV/atom.

| no. | DFT total energy (eV/atom) |
| --- | --- |
| 1 | -5.06 |
| 2 | -4.01 |
| 3 | -3.09 |
| 4 | -3.52 |